# 1
Mn4FePt5 after structural relaxation, computed with PBE-GGA.

Output
total magnetic moment	2.074	μB/atom
symmetry	No. 123
total energy	-7.8553	eV/atom

Unit cell a=2.897 b=2.897 c=17.765 alpha=90.00 beta=90.00 gamma=90.00
Element x y z (fractional)
Mn 0.000 0.000 0.100
Mn 0.000 0.000 0.301
Mn 0.000 0.000 0.699
Mn 0.000 0.000 0.900
Fe 0.000 0.000 0.500
Pt 0.500 0.500 0.000
Pt 0.500 0.500 0.200
Pt 0.500 0.500 0.402
Pt 0.500 0.500 0.598
Pt 0.500 0.500 0.800

---

# 2
MnFePt3 after structural relaxation, computed with PBE-GGA.

Output
total magnetic moment	0.679	μB/atom
symmetry	No. 221
total energy	-5.9951	eV/atom

Unit cell a=4.544 b=4.544 c=4.544 alpha=90.00 beta=90.00 gamma=90.00
Element x y z (fractional)
Mn 0.000 0.000 0.000
Fe 0.500 0.500 0.500
Pt 0.000 0.000 0.500
Pt 0.000 0.500 0.000
Pt 0.500 0.000 0.000

---

# 3
MnFe2Pt after structural relaxation, computed with PBE-GGA.

Output
total magnetic moment	0.591	μB/atom
symmetry	No. 12
total energy	-8.0710	eV/atom

Unit cell a=4.594 b=4.594 c=4.476 alpha=100.47 beta=100.47 gamma=34.27
Element x y z (fractional)
Mn 0.000 0.000 0.000
Fe 0.251 0.251 0.761
Fe 0.749 0.749 0.239
Pt 0.500 0.500 0.500